(1)
VASP calculation (PBE) on a relaxed structure of ZnIn2Tc2.

```
ZnIn2Tc2
1.0
-6.502 -0.440 -0.531
0.664 -5.350 -3.699
-0.122 -2.448 3.519
Tc In Zn
4 4 2
Cartesian
-4.003 -0.966 -0.810 Tc
-1.835 -4.824 -3.419 Tc
-5.247 -3.747 -2.789 Tc
-0.592 -2.042 -1.441 Tc
-3.889 -5.943 -1.656 In
-5.220 -3.336 0.112 In
-2.071 -2.294 0.945 In
-0.740 -4.902 -0.823 In
-2.919 -2.895 -2.115 Zn
0.000 0.000 0.000 Zn
```

final energy: -5.33 eV/atom
magnetic moment: 0.00 μB per formula unit
DOS at the Fermi energy: 0.48 states/eV/atom
space-group type: P4/mbm
calculated volume: 183.3 Å³ per cell

(2)
VASP calculation (PBE) on a relaxed structure of Ba3SnHg2Pb6.

```
Ba3SnHg2Pb6
1.0
-2.535 -6.064 -1.565
3.559 3.459 -4.584
9.226 -4.775 3.560
Sn Ba Pb Hg
1 3 6 2
Cartesian
4.613 -2.388 1.780 Sn
0.000 0.000 0.000 Ba
3.341 -4.880 -1.088 Ba
6.909 -2.501 -1.501 Ba
6.971 -6.234 -1.719 Pb
3.779 -2.417 -3.868 Pb
3.280 -1.146 -0.870 Pb
5.236 -7.920 0.516 Pb
6.471 -4.964 1.279 Pb
5.015 0.540 -3.105 Pb
0.190 -3.249 -2.304 Hg
10.060 -4.132 -0.285 Hg
```

final energy: -3.03 eV/atom
magnetic moment: 0.00 μB per formula unit
DOS at the Fermi energy: 0.64 states/eV/atom
space-group type: P-3m1
calculated volume: 434.1 Å³ per cell

(3)
VASP calculation (PBE) on a relaxed structure of SrSi2Ir.

```
SrSi2Ir
1.0
-0.202 4.668 -1.676
-3.708 0.972 3.154
3.247 5.000 6.182
Si Sr Ir
4 2 2
Cartesian
1.795 7.956 3.564 Si
1.895 5.622 4.403 Si
0.171 5.455 0.473 Si
-1.683 5.943 2.050 Si
-1.208 4.396 5.038 Sr
-1.955 2.820 0.739 Sr
0.000 0.000 0.000 Ir
0.545 6.244 2.622 Ir
```

magnetic moment: 0.00 μB per formula unit
DOS at the Fermi energy: 0.66 states/eV/atom
space-group type: I4_1/amd
calculated volume: 193.1 Å³ per cell
formation energy from raw total energies: -1.82 eV per formula unit

(4)
VASP calculation (PBE) on a relaxed structure of Na3SiS4.

```
Na3SiS4
1.0
6.875 0.000 0.000
0.000 6.875 0.000
0.000 0.000 6.875
Si S Na
1 4 3
Cartesian
0.000 0.000 0.000 Si
5.642 5.642 1.233 S
1.233 5.642 5.642 S
5.642 1.233 5.642 S
1.233 1.233 1.233 S
0.000 3.438 0.000 Na
3.438 0.000 0.000 Na
0.000 0.000 3.438 Na
```

magnetic moment: 1.12 μB per formula unit
DOS at the Fermi energy: 1.29 states/eV/atom
space-group type: P-43m
calculated volume: 325.0 Å³ per cell
formation energy from raw total energies: -6.77 eV per formula unit

(5)
VASP calculation (PBE) on a relaxed structure of TmPa2Tc3.

```
TmPa2Tc3
1.0
3.486 0.000 0.000
0.000 4.883 -1.617
0.000 -0.311 7.245
Tc Pa Tm
3 2 1
Cartesian
1.743 0.774 2.339 Tc
1.743 3.798 3.289 Tc
1.743 2.441 -0.808 Tc
0.000 1.438 4.344 Pa
0.000 3.134 1.285 Pa
0.000 0.000 0.000 Tm
```

final energy: -9.34 eV/atom
magnetic moment: 0.00 μB per formula unit
DOS at the Fermi energy: 0.93 states/eV/atom
space-group type: Cmmm
calculated volume: 121.6 Å³ per cell

(6)
VASP calculation (PBE) on a relaxed structure of Ho3ThC3.

```
Ho3ThC3
1.0
5.240 0.178 0.241
-1.024 5.142 0.241
-1.024 -1.292 4.982
Th C Ho
1 3 3
Cartesian
0.170 0.214 0.291 Th
3.499 1.409 5.059 C
3.499 4.415 2.844 C
0.573 3.728 5.059 C
2.410 0.119 3.221 Ho
-0.435 2.374 3.221 Ho
2.410 3.041 1.067 Ho
```

final energy: -6.86 eV/atom
magnetic moment: 0.87 μB per formula unit
DOS at the Fermi energy: 0.14 states/eV/atom
space-group type: R3m
calculated volume: 138.3 Å³ per cell

The highest magnetic moment belongs to which entry?
Na3SiS4

magnetic moment of number 1 (ZnIn2Tc2)?
0.00 μB per formula unit